1.
A relaxed structure of CdGaPt5. Source: Alexandria via LeMat-Bulk, functional PBE-GGA.

Density ... 16.3 Mg/m³
D(E_F) ... 5.97 states/eV/f.u.
Total energy ... -5.145 eV per atom
Formation enthalpy at 0 K ... -0.2672 eV/atom

a = 3.992 Å, b = 3.992 Å, c = 7.394 Å
α = 90.00°, β = 90.00°, γ = 90.00°
Fractional coordinates of all 7 atoms:
Cd1 0.000 0.000 0.500
Ga1 0.500 0.500 0.000
Pt1 0.000 0.500 0.782
Pt2 0.000 0.500 0.218
Pt3 0.500 0.000 0.782
Pt4 0.500 0.000 0.218
Pt5 0.500 0.500 0.500

***

2.
A relaxed structure of Pm3Sn4Pd8. Source: Alexandria via LeMat-Bulk, functional PBE-GGA.

Density ... 9.7 Mg/m³
D(E_F) ... 10.29 states/eV/f.u.
Total energy ... -5.551 eV per atom
Formation enthalpy at 0 K ... -0.7636 eV/atom

a = 9.478 Å, b = 9.478 Å, c = 9.478 Å
α = 60.00°, β = 60.00°, γ = 60.00°
Fractional coordinates of all 30 atoms:
Pm1 0.730 0.730 0.270
Pm2 0.270 0.270 0.730
Pm3 0.730 0.270 0.270
Pm4 0.270 0.730 0.730
Pm5 0.730 0.270 0.730
Pm6 0.270 0.730 0.270
Sn1 0.000 0.000 0.000
Sn2 0.500 0.500 0.000
Sn3 0.000 0.000 0.500
Sn4 0.500 0.000 0.000
Sn5 0.000 0.500 0.500
Sn6 0.500 0.000 0.500
Sn7 0.000 0.500 0.000
Sn8 0.500 0.500 0.500
Pd1 0.635 0.122 0.122
Pd2 0.365 0.878 0.878
Pd3 0.122 0.122 0.635
Pd4 0.122 0.122 0.122
Pd5 0.878 0.878 0.365
Pd6 0.878 0.878 0.878
Pd7 0.122 0.635 0.122
Pd8 0.878 0.365 0.878
Pd9 0.001 0.333 0.333
Pd10 0.999 0.667 0.667
Pd11 0.333 0.333 0.001
Pd12 0.333 0.333 0.333
Pd13 0.667 0.667 0.999
Pd14 0.667 0.667 0.667
Pd15 0.333 0.001 0.333
Pd16 0.667 0.999 0.667

***

3.
A relaxed structure of CuAs2Pt. Source: Alexandria via LeMat-Bulk, functional PBE-GGA.

Density ... 9.4 Mg/m³
D(E_F) ... 1.85 states/eV/f.u.
Total energy ... -4.869 eV per atom
Offset from the most stable computed form ... 0.050 eV/atom
Formation enthalpy at 0 K ... -0.0097 eV/atom

a = 4.322 Å, b = 4.322 Å, c = 8.285 Å
α = 74.88°, β = 74.88°, γ = 90.00°
Fractional coordinates of all 8 atoms:
As1 0.610 0.125 0.250
As2 0.140 0.625 0.250
As3 0.375 0.390 0.750
As4 0.875 0.860 0.750
Cu1 0.500 0.500 0.000
Cu2 0.250 0.750 0.500
Pt1 0.000 0.000 0.000
Pt2 0.750 0.250 0.500

***

4.
A relaxed structure of MgHIr5. Source: Alexandria via LeMat-Bulk, functional PBE-GGA.

Density ... 17.7 Mg/m³
D(E_F) ... 6.36 states/eV/f.u.
Total energy ... -7.041 eV per atom
Offset from the most stable computed form ... 0.019 eV/atom

a = 4.832 Å, b = 4.864 Å, c = 4.820 Å
α = 60.33°, β = 110.26°, γ = 99.86°
Fractional coordinates of all 7 atoms:
Mg1 0.108 0.080 0.877
H1 0.670 0.079 0.758
Ir1 0.598 0.447 0.711
Ir2 0.598 0.712 0.079
Ir3 0.589 0.080 0.363
Ir4 0.096 0.410 0.213
Ir5 0.097 0.749 0.545

***

5.
A relaxed structure of Fe2GeAu. Source: Alexandria via LeMat-Bulk, functional PBE-GGA.

Density ... 11.1 Mg/m³
D(E_F) ... 4.06 states/eV/f.u.
Total energy ... -6.015 eV per atom
Offset from the most stable computed form ... 0.000 eV/atom
Formation enthalpy at 0 K ... 0.1897 eV/atom

a = 4.326 Å, b = 4.326 Å, c = 4.326 Å
α = 60.00°, β = 60.00°, γ = 60.00°
Fractional coordinates of all 4 atoms:
Ge1 0.000 0.000 0.000
Au1 0.500 0.500 0.500
Fe1 0.250 0.250 0.250
Fe2 0.750 0.750 0.750

***

6.
A relaxed structure of BeHg2Cl. Source: Alexandria via LeMat-Bulk, functional PBE-GGA.

Density ... 8.1 Mg/m³
D(E_F) ... 2.86 states/eV/f.u.
Total energy ... -1.698 eV per atom
Offset from the most stable computed form ... 0.046 eV/atom
Energy relative to the elements, uncorrected ... -0.154 eV/atom

a = 10.162 Å, b = 10.162 Å, c = 10.162 Å
α = 18.45°, β = 18.45°, γ = 18.45°
Fractional coordinates of all 4 atoms:
Be1 0.497 0.497 0.497
Hg1 0.985 0.985 0.985
Hg2 0.226 0.226 0.226
Cl1 0.791 0.791 0.791

***

7.
A relaxed structure of PmNdFe4. Source: Alexandria via LeMat-Bulk, functional PBE-GGA.

Density ... 8.3 Mg/m³
D(E_F) ... 7.72 states/eV/f.u.
Total energy ... -7.166 eV per atom
Formation enthalpy at 0 K ... 0.0620 eV/atom

a = 5.249 Å, b = 5.249 Å, c = 5.249 Å
α = 60.00°, β = 60.00°, γ = 60.00°
Fractional coordinates of all 6 atoms:
Nd1 0.250 0.250 0.250
Fe1 0.625 0.625 0.125
Fe2 0.625 0.125 0.625
Fe3 0.625 0.625 0.625
Fe4 0.125 0.625 0.625
Pm1 0.000 0.000 0.000

***

8.
A relaxed structure of Y8HgIr2. Source: Alexandria via LeMat-Bulk, functional PBE-GGA.

Density ... 7.0 Mg/m³
D(E_F) ... 12.60 states/eV/f.u.
Total energy ... -6.745 eV per atom
Formation enthalpy at 0 K ... -0.4052 eV/atom

a = 5.504 Å, b = 7.908 Å, c = 7.908 Å
α = 113.16°, β = 97.46°, γ = 97.46°
Fractional coordinates of all 11 atoms:
Y1 0.583 0.334 0.071
Y2 0.583 0.071 0.334
Y3 0.197 0.383 0.383
Y4 0.000 0.248 0.759
Y5 0.000 0.759 0.248
Y6 0.803 0.622 0.622
Y7 0.417 0.935 0.673
Y8 0.417 0.673 0.935
Hg1 0.001 0.003 0.003
Ir1 0.500 0.693 0.313
Ir2 0.500 0.313 0.693

***

9.
A relaxed structure of YTmC2. Source: Alexandria via LeMat-Bulk, functional PBE-GGA.

Density ... 7.3 Mg/m³
D(E_F) ... 4.34 states/eV/f.u.
Total energy ... -7.348 eV per atom
Formation enthalpy at 0 K ... -0.0022 eV/atom

a = 3.568 Å, b = 3.568 Å, c = 6.163 Å
α = 73.17°, β = 73.17°, γ = 60.00°
Fractional coordinates of all 4 atoms:
Y1 0.500 0.500 0.500
C1 0.252 0.252 0.243
C2 0.748 0.748 0.757
Tm1 0.000 0.000 0.000

***

10.
A relaxed structure of RbLiS5. Source: Alexandria via LeMat-Bulk, functional PBE-GGA.

Density ... 2.0 Mg/m³
D(E_F) ... 1.66 states/eV/f.u.
Total energy ... -3.707 eV per atom
Energy relative to the elements, uncorrected ... -0.347 eV/atom

a = 7.450 Å, b = 7.450 Å, c = 11.436 Å
α = 108.05°, β = 108.05°, γ = 121.30°
Fractional coordinates of all 14 atoms:
Rb1 0.637 0.863 0.250
Rb2 0.363 0.137 0.750
Li1 0.000 0.000 0.000
Li2 0.500 0.500 0.500
S1 0.971 0.305 0.137
S2 0.817 0.147 0.750
S3 0.805 0.471 0.637
S4 0.332 0.168 0.250
S5 0.353 0.683 0.750
S6 0.647 0.317 0.250
S7 0.668 0.832 0.750
S8 0.195 0.529 0.363
S9 0.183 0.853 0.250
S10 0.029 0.695 0.863

***

11.
A relaxed structure of MnTlGeI5. Source: Alexandria via LeMat-Bulk, functional PBE-GGA.

Density ... 4.8 Mg/m³
D(E_F) ... 0.00 states/eV/f.u.
Total energy ... -3.405 eV per atom
Energy relative to the elements, uncorrected ... -0.417 eV/atom

a = 8.318 Å, b = 8.318 Å, c = 11.061 Å
α = 104.21°, β = 104.21°, γ = 105.18°
Fractional coordinates of all 16 atoms:
Mn1 0.684 0.316 0.250
Mn2 0.316 0.684 0.750
Tl1 0.345 0.655 0.250
Tl2 0.655 0.345 0.750
Ge1 0.000 0.000 0.500
Ge2 0.000 0.000 0.000
I1 0.081 0.919 0.250
I2 0.919 0.081 0.750
I3 0.912 0.328 0.114
I4 0.088 0.672 0.886
I5 0.672 0.088 0.386
I6 0.328 0.912 0.614
I7 0.751 0.623 0.440
I8 0.249 0.377 0.560
I9 0.377 0.249 0.060
I10 0.623 0.751 0.940

***

12.
A relaxed structure of Hf2MnZn12. Source: Alexandria via LeMat-Bulk, functional PBE-GGA.

Density ... 8.1 Mg/m³
D(E_F) ... 7.73 states/eV/f.u.
Total energy ... -2.940 eV per atom
Formation enthalpy at 0 K ... 0.0178 eV/atom

a = 5.449 Å, b = 5.449 Å, c = 17.301 Å
α = 90.00°, β = 90.00°, γ = 107.17°
Fractional coordinates of all 30 atoms:
Hf1 0.500 0.000 0.263
Hf2 0.000 0.500 0.284
Hf3 0.000 0.500 0.737
Hf4 0.500 0.000 0.716
Mn1 0.500 0.000 0.003
Mn2 0.000 0.500 0.997
Zn1 0.500 0.500 0.797
Zn2 0.000 0.000 0.797
Zn3 0.751 0.749 0.919
Zn4 0.270 0.770 0.876
Zn5 0.000 0.000 0.344
Zn6 0.230 0.730 0.124
Zn7 0.817 0.317 0.582
Zn8 0.500 0.500 0.344
Zn9 0.249 0.251 0.919
Zn10 0.749 0.751 0.081
Zn11 0.350 0.150 0.548
Zn12 0.683 0.183 0.418
Zn13 0.000 0.000 0.656
Zn14 0.150 0.350 0.452
Zn15 0.251 0.249 0.081
Zn16 0.850 0.650 0.452
Zn17 0.650 0.850 0.548
Zn18 0.000 0.000 0.203
Zn19 0.183 0.683 0.582
Zn20 0.500 0.500 0.656
Zn21 0.730 0.230 0.876
Zn22 0.500 0.500 0.203
Zn23 0.317 0.817 0.418
Zn24 0.770 0.270 0.124

***

13.
A relaxed structure of LaGeRh. Source: Alexandria via LeMat-Bulk, functional PBE-GGA.

Density ... 8.3 Mg/m³
D(E_F) ... 1.26 states/eV/f.u.
Total energy ... -6.529 eV per atom
Formation enthalpy at 0 K ... -0.8970 eV/atom

a = 3.748 Å, b = 11.289 Å, c = 5.940 Å
α = 90.00°, β = 90.00°, γ = 90.00°
Fractional coordinates of all 12 atoms:
La1 0.000 0.183 0.250
La2 0.000 0.817 0.750
La3 0.500 0.683 0.250
La4 0.500 0.317 0.750
Ge1 0.000 0.903 0.250
Ge2 0.000 0.097 0.750
Ge3 0.500 0.403 0.250
Ge4 0.500 0.597 0.750
Rh1 0.000 0.500 0.000
Rh2 0.000 0.500 0.500
Rh3 0.500 0.000 0.000
Rh4 0.500 0.000 0.500

***

14.
A relaxed structure of KCa. Source: Alexandria via LeMat-Bulk, functional PBE-GGA.

Density ... 1.2 Mg/m³
D(E_F) ... 1.67 states/eV/f.u.
Total energy ... -1.392 eV per atom
Formation enthalpy at 0 K ... 0.1576 eV/atom

a = 8.868 Å, b = 8.868 Å, c = 6.185 Å
α = 90.00°, β = 90.00°, γ = 153.79°
Fractional coordinates of all 4 atoms:
Ca1 0.799 0.201 0.750
Ca2 0.201 0.799 0.250
K1 0.569 0.431 0.750
K2 0.431 0.569 0.250

***

15.
A relaxed structure of TcIrSeN2. Source: Alexandria via LeMat-Bulk, functional PBE-GGA.

Density ... 9.5 Mg/m³
D(E_F) ... 6.20 states/eV/f.u.
Total energy ... -5.712 eV per atom
Offset from the most stable computed form ... 1.087 eV/atom
Energy relative to the elements, uncorrected ... 2.161 eV/atom

a = 3.751 Å, b = 4.924 Å, c = 3.751 Å
α = 90.00°, β = 90.00°, γ = 90.00°
Fractional coordinates of all 5 atoms:
Ir1 0.000 0.500 0.000
Tc1 0.500 0.500 0.500
Se1 0.000 0.000 0.000
N1 0.000 0.000 0.500
N2 0.500 0.000 0.000

***

16.
A relaxed structure of La8GeTe4Br3. Source: Alexandria via LeMat-Bulk, functional PBE-GGA.

Density ... 6.3 Mg/m³
D(E_F) ... 10.57 states/eV/f.u.
Total energy ... -5.277 eV per atom
Energy relative to the elements, uncorrected ... -1.425 eV/atom

a = 8.957 Å, b = 8.959 Å, c = 8.957 Å
α = 120.00°, β = 120.00°, γ = 90.00°
Fractional coordinates of all 16 atoms:
La1 0.238 0.733 0.995
La2 0.238 0.733 0.477
La3 0.253 0.258 0.505
La4 0.757 0.733 0.995
La5 0.243 0.267 0.005
La6 0.747 0.742 0.495
La7 0.762 0.267 0.523
La8 0.762 0.267 0.005
Ge1 0.000 0.500 0.000
Te1 0.500 0.000 0.000
Te2 0.500 0.000 0.500
Te3 0.000 0.000 0.000
Te4 0.000 0.000 0.500
Br1 0.500 0.500 0.000
Br2 0.500 0.500 0.500
Br3 0.000 0.500 0.500

***

17.
A relaxed structure of Na3Cd2O4. Source: Alexandria via LeMat-Bulk, functional PBE-GGA.

Density ... 4.2 Mg/m³
D(E_F) ... 6.49 states/eV/f.u.
Total energy ... -3.906 eV per atom
Energy relative to the elements, uncorrected ... -1.059 eV/atom

a = 3.472 Å, b = 5.939 Å, c = 7.422 Å
α = 77.36°, β = 76.47°, γ = 73.00°
Fractional coordinates of all 9 atoms:
Na1 0.000 0.000 0.000
Na2 0.205 0.411 0.179
Na3 0.795 0.589 0.821
Cd1 0.614 0.144 0.628
Cd2 0.386 0.856 0.372
O1 0.767 0.137 0.328
O2 0.233 0.863 0.672
O3 0.416 0.292 0.876
O4 0.584 0.708 0.124

***

18.
A relaxed structure of LiSm2Ga3Ir4. Source: Alexandria via LeMat-Bulk, functional PBE-GGA.

Density ... 11.6 Mg/m³
D(E_F) ... 4.56 states/eV/f.u.
Total energy ... -6.220 eV per atom
Formation enthalpy at 0 K ... -0.6328 eV/atom

a = 4.155 Å, b = 4.155 Å, c = 10.620 Å
α = 90.00°, β = 90.00°, γ = 90.00°
Fractional coordinates of all 10 atoms:
Li1 0.500 0.500 0.500
Sm1 0.500 0.000 0.248
Sm2 0.000 0.500 0.752
Ga1 0.000 0.000 0.500
Ga2 0.500 0.000 0.871
Ga3 0.000 0.500 0.129
Ir1 0.500 0.500 0.000
Ir2 0.000 0.000 0.000
Ir3 0.500 0.000 0.639
Ir4 0.000 0.500 0.361

***

19.
A relaxed structure of RbGeBRh2. Source: Alexandria via LeMat-Bulk, functional PBE-GGA.

Density ... 6.4 Mg/m³
D(E_F) ... 2.87 states/eV/f.u.
Total energy ... -4.443 eV per atom
Formation enthalpy at 0 K ... 0.9499 eV/atom

a = 4.840 Å, b = 4.129 Å, c = 4.840 Å
α = 90.00°, β = 90.00°, γ = 90.00°
Fractional coordinates of all 5 atoms:
Ge1 0.000 0.000 0.000
B1 0.000 0.500 0.000
Rh1 0.000 0.000 0.500
Rh2 0.500 0.000 0.000
Rb1 0.500 0.500 0.500

***

20.
A relaxed structure of Ba2NdZnS5. Source: Alexandria via LeMat-Bulk, functional PBE-GGA.

Density ... 4.4 Mg/m³
D(E_F) ... 0.55 states/eV/f.u.
Total energy ... -4.982 eV per atom
Energy relative to the elements, uncorrected ... -1.590 eV/atom

a = 4.248 Å, b = 8.963 Å, c = 13.221 Å
α = 90.00°, β = 90.00°, γ = 103.71°
Fractional coordinates of all 18 atoms:
Ba1 0.863 0.726 0.854
Ba2 0.112 0.224 0.688
Ba3 0.137 0.274 0.354
Ba4 0.888 0.776 0.188
Nd1 0.824 0.649 0.528
Nd2 0.176 0.351 0.028
Zn1 0.535 0.069 0.919
Zn2 0.465 0.931 0.419
S1 0.332 0.664 0.027
S2 0.670 0.339 0.876
S3 0.481 0.961 0.756
S4 0.323 0.646 0.674
S5 0.988 0.976 0.501
S6 0.668 0.336 0.527
S7 0.330 0.661 0.376
S8 0.519 0.039 0.256
S9 0.677 0.354 0.174
S10 0.012 0.024 0.001

***

21.
A relaxed structure of SrLaSi2. Source: Alexandria via LeMat-Bulk, functional PBE-GGA.

Density ... 4.6 Mg/m³
D(E_F) ... 2.34 states/eV/f.u.
Total energy ... -4.678 eV per atom
Offset from the most stable computed form ... 0.265 eV/atom
Energy relative to the elements, uncorrected ... -0.315 eV/atom

a = 3.481 Å, b = 3.481 Å, c = 8.510 Å
α = 90.00°, β = 90.00°, γ = 90.00°
Fractional coordinates of all 4 atoms:
La1 0.500 0.500 0.750
Si1 0.000 0.000 0.992
Si2 0.000 0.000 0.508
Sr1 0.500 0.500 0.250

***

22.
A relaxed structure of IrBr2Cl. Source: Alexandria via LeMat-Bulk, functional PBE-GGA.

Density ... 5.3 Mg/m³
D(E_F) ... 3.80 states/eV/f.u.
Total energy ... -3.676 eV per atom
Offset from the most stable computed form ... 0.020 eV/atom
Energy relative to the elements, uncorrected ... -0.162 eV/atom

a = 3.634 Å, b = 7.031 Å, c = 7.032 Å
α = 42.28°, β = 90.00°, γ = 90.00°
Fractional coordinates of all 4 atoms:
Ir1 0.500 0.739 0.739
Br1 0.000 0.870 0.870
Br2 0.500 0.270 0.269
Cl1 0.000 0.621 0.621